KBaZrO4: optimized geometry, PBE.

The value obtained for the raw formation energy is -2483 meV/atom. The magnetic moment comes out at 1.0 μB per formula unit. For the electronic total energy, the calculation gives -97.57 eV for the cell shown.

The space group is I4mm (No. 107) and the conventional cell measures 4.2361, 4.2361 and 13.6565 Å, with angles of 90.00, 90.00 and 90.00 degrees. The asymmetric unit holds K at (0.0000, 0.0000, 0.0000), Ba at (0.0000, 0.0000, 0.7038), Zr at (0.0000, 0.0000, 0.3593), O at (0.0000, 0.0000, 0.1980), O at (0.0000, 0.0000, 0.5080) and O at (0.0000, 0.5000, 0.3442).